V2SiO4 | PBEsol | optimized geometry

Lattice parameters (Å, degrees): 10.432 6.107 4.743 90.00 90.00 90.00
Space group Pnma (No. 62)
Symmetry-distinct sites (fractional):
V1 0.000 0.000 0.000 x4
V2 0.224 0.250 0.495 x4
Si1 0.098 0.750 0.430 x4
O1 0.049 0.250 0.710 x4
O2 0.097 0.750 0.774 x4
O3 0.163 0.533 0.276 x8

Energy above the lowest structure with this stoichiometry (meV/atom): 114
Density (g cm⁻³): 4.3
Formation energy from raw total energies (eV per atom): -2.043
Total DFT energy (no corrections) (eV for the cell shown): -241.251